1.
Here is a geometry-optimized LuGaCuPt structure from Alexandria. Energies are from PBE-GGA.

As for the total moment: 0.000 μB per formula unit. As for the density of states at the Fermi level: 1.663 states/eV/f.u. The energy of formation from the pure elements comes out at -0.6858 eV per atom. The final energy comes out at -81.711 eV per cell.

The space group is F-43m (No. 216) and the conventional cell measures 6.4826, 6.4826 and 6.4826 Å, with angles of 90.00, 90.00 and 90.00 degrees. The distinct sites, in fractional coordinates, are Lu at (0.0000, 0.0000, 0.0000), Ga at (0.0000, 0.0000, 0.5000), Cu at (0.2500, 0.2500, 0.7500) and Pt at (0.2500, 0.2500, 0.2500).


2.
Here is a geometry-optimized LuPuGaCu structure from Alexandria. Energies are from PBE-GGA.

As for the total moment: 5.611 μB per formula unit. As for the density of states at the Fermi level: 6.741 states/eV/f.u. The energy of formation from the pure elements comes out at -0.2333 eV per atom. The final energy comes out at -107.637 eV per cell.

The space group is F-43m (No. 216) and the conventional cell measures 6.9961, 6.9961 and 6.9961 Å, with angles of 90.00, 90.00 and 90.00 degrees. The distinct sites, in fractional coordinates, are Lu at (0.0000, 0.0000, 0.0000), Pu at (0.0000, 0.0000, 0.5000), Ga at (0.2500, 0.2500, 0.7500) and Cu at (0.2500, 0.2500, 0.2500).


> Look up the energy of formation from the pure elements of the second one.

-0.2333 eV per atom